Record 1
The following is a DFT calculation (PBE-GGA) of an optimized crystal structure of NaVAs2.

a = 6.5823 Å, b = 6.5823 Å, c = 6.5823 Å
α = 90.00°, β = 90.00°, γ = 90.00°
Space group Fm-3m (No. 225)
Unique sites:
Na 0.0000 0.0000 0.0000 x4
V 0.0000 0.0000 0.5000 x4
As 0.2500 0.2500 0.2500 x8

ρ = 5.2 g/cm3
raw total energy = -79.090 eV/cell
calculated formation energy = -3 kJ/mol of formula units
distance to the lowest polymorph of the same formula = 339 meV/atom

Record 2
The following is a DFT calculation (PBE-GGA) of an optimized crystal structure of YSiBr.

a = 10.7271 Å, b = 3.7100 Å, c = 3.7095 Å
α = 90.00°, β = 110.19°, γ = 90.00°
Space group Cm (No. 8)
Unique sites:
Y 0.0000 0.0000 0.0000 x2
Si 0.3352 0.0000 0.3338 x2
Br 0.1443 0.5000 0.6447 x2

ρ = 4.7 g/cm3
raw total energy = -29.602 eV/cell
formation energy from raw total energies = -0.41 eV/atom

Record 3
The following is a DFT calculation (PBE-GGA) of an optimized crystal structure of KLiZr2.

a = 4.1574 Å, b = 4.1574 Å, c = 12.7372 Å
α = 90.00°, β = 90.00°, γ = 90.00°
Space group I4/mmm (No. 139)
Unique sites:
K 0.0000 0.0000 0.0000 x2
Li 0.0000 0.0000 0.5000 x2
Zr 0.0000 0.5000 0.2500 x4

ρ = 3.4 g/cm3
raw total energy = -34.086 eV/cell
calculated formation energy = 296 kJ/mol of formula units
distance to the lowest polymorph of the same formula = 454 meV/atom

> Look up the ρ of the first one.

5.2 g/cm3

What did the first record say?
The following is a DFT calculation (PBE-GGA) of an optimized crystal structure of NaVAs2.

a = 6.5823 Å, b = 6.5823 Å, c = 6.5823 Å
α = 90.00°, β = 90.00°, γ = 90.00°
Space group Fm-3m (No. 225)
Unique sites:
Na 0.0000 0.0000 0.0000 x4
V 0.0000 0.0000 0.5000 x4
As 0.2500 0.2500 0.2500 x8

ρ = 5.2 g/cm3
raw total energy = -79.090 eV/cell
calculated formation energy = -3 kJ/mol of formula units
distance to the lowest polymorph of the same formula = 339 meV/atom